--- A ---
CsNaSr2Au | PBE | relaxed

abc: 6.1909 6.1909 6.9709
angles: 90.00 90.00 90.00
Space group P4/mmm (No. 123)
Inequivalent atoms, fractional coordinates:
Cs  0.0000  0.0000  0.0000 x1
Na  0.5000  0.5000  0.0000 x1
Sr  0.0000  0.5000  0.5000 x2
Au  0.0000  0.0000  0.5000 x1

Calculated values
DOS at the Fermi energy	0.691	states/eV/atom
calculated density	3.28	g/cm3

---

--- B ---
CsNaSr2Au | PBE | relaxed

abc: 6.2158 6.2158 6.3755
angles: 90.00 90.00 90.00
Space group P4/mmm (No. 123)
Inequivalent atoms, fractional coordinates:
Cs  0.0000  0.0000  0.0000 x1
Na  0.5000  0.5000  0.0000 x1
Sr  0.0000  0.5000  0.5000 x2
Au  0.5000  0.5000  0.5000 x1

Calculated values
DOS at the Fermi energy	0.622	states/eV/atom
calculated density	3.56	g/cm3

---

Short version: B, A, most stable first.

---

--- A ---
Cs2NaTlAu | PBE | relaxed

abc: 6.8916 6.8916 5.7088
angles: 90.00 90.00 90.00
Space group P4/mmm (No. 123)
Inequivalent atoms, fractional coordinates:
Cs  0.0000  0.5000  0.0000 x2
Na  0.0000  0.0000  0.5000 x1
Tl  0.5000  0.5000  0.5000 x1
Au  0.0000  0.0000  0.0000 x1

Calculated values
DOS at the Fermi energy	1.039	states/eV/atom
calculated density	4.23	g/cm3

---

--- B ---
Cs2NaTlAu | PBE | relaxed

abc: 6.9170 6.9170 5.7998
angles: 90.00 90.00 90.00
Space group P4/mmm (No. 123)
Inequivalent atoms, fractional coordinates:
Cs  0.0000  0.5000  0.0000 x2
Na  0.0000  0.0000  0.5000 x1
Tl  0.5000  0.5000  0.5000 x1
Au  0.5000  0.5000  0.0000 x1

Calculated values
DOS at the Fermi energy	0.468	states/eV/atom
calculated density	4.13	g/cm3

---

Short version: B, A, most stable first.

---

--- A ---
CsNa2ZnAu | PBE | relaxed

abc: 5.8214 5.8214 5.1454
angles: 90.00 90.00 90.00
Space group P4/mmm (No. 123)
Inequivalent atoms, fractional coordinates:
Cs  0.0000  0.0000  0.0000 x1
Na  0.0000  0.5000  0.5000 x2
Zn  0.5000  0.5000  0.0000 x1
Au  0.5000  0.5000  0.5000 x1

Calculated values
DOS at the Fermi energy	0.432	states/eV/atom
calculated density	4.20	g/cm3

---

--- B ---
CsNa2ZnAu | PBE | relaxed

abc: 5.7862 5.7862 5.1164
angles: 90.00 90.00 90.00
Space group P4/mmm (No. 123)
Inequivalent atoms, fractional coordinates:
Cs  0.0000  0.0000  0.0000 x1
Na  0.0000  0.5000  0.5000 x2
Zn  0.5000  0.5000  0.5000 x1
Au  0.5000  0.5000  0.0000 x1

Calculated values
DOS at the Fermi energy	0.450	states/eV/atom
calculated density	4.28	g/cm3

---

Short version: A, B, most stable first.